Entry 1:
CrNi | PBE-GGA | relaxed

Computed properties:
SG = P4/m, No. 83
ΔH_f (0 K) = 570.6 meV per atom

abc: 9.6808 9.6808 2.6326
angles: 90.00 90.00 90.00
Last column: nearest neighbours and their distance in Å.
Atoms (fractional coordinates):
Cr: 0.0697 0.3784 0.0000  4 Cr 2.21-2.48, 2 Ni 2.43
Cr: 0.1117 0.5912 0.5000  4 Cr 2.21-2.48, 1 Ni 2.33
Cr: 0.3784 0.9303 0.0000  4 Cr 2.21-2.48, 2 Ni 2.43
Cr: 0.4088 0.1117 0.5000  4 Cr 2.21-2.48, 1 Ni 2.33
Cr: 0.5912 0.8883 0.5000  4 Cr 2.21-2.48, 1 Ni 2.33
Cr: 0.6216 0.0697 0.0000  4 Cr 2.21-2.48, 2 Ni 2.43
Cr: 0.8883 0.4088 0.5000  4 Cr 2.21-2.48, 1 Ni 2.33
Cr: 0.9303 0.6216 0.0000  4 Cr 2.21-2.48, 2 Ni 2.43
Ni: 0.2680 0.3072 0.5000  3 Cr 2.33-2.43, 4 Ni 2.46-2.47
Ni: 0.3072 0.7320 0.5000  3 Cr 2.33-2.43, 4 Ni 2.46-2.47
Ni: 0.3194 0.5160 0.0000  8 Ni 2.46-2.63, 2 Cr 2.51
Ni: 0.4840 0.3194 0.0000  8 Ni 2.46-2.63, 2 Cr 2.51
Ni: 0.5160 0.6806 0.0000  8 Ni 2.46-2.63, 2 Cr 2.51
Ni: 0.6806 0.4840 0.0000  8 Ni 2.46-2.63, 2 Cr 2.51
Ni: 0.6928 0.2680 0.5000  3 Cr 2.33-2.43, 4 Ni 2.46-2.47
Ni: 0.7320 0.6928 0.5000  3 Cr 2.33-2.43, 4 Ni 2.46-2.47

Entry 2:
CaSi2Bi2 | PBE-GGA | relaxed

Computed properties:
SG = P4/mbm, No. 127
E_form (uncorrected) = 0.26 eV/f.u.
Distance to the lowest polymorph of the same formula = 33 meV per atom

abc: 7.7850 7.7850 4.1866
angles: 90.00 90.00 90.00
Last column: nearest neighbours and their distance in Å.
Atoms (fractional coordinates):
Ca: 0.0000 0.0000 0.0000  4 Si 3.16, 8 Bi 3.53
Ca: 0.5000 0.5000 0.0000  4 Si 3.16, 8 Bi 3.53
Si: 0.1098 0.3902 0.0000  1 Si 2.42
Si: 0.3902 0.8902 0.0000  1 Si 2.42
Si: 0.6098 0.1098 0.0000  1 Si 2.42
Si: 0.8902 0.6098 0.0000  1 Si 2.42
Bi: 0.1874 0.6874 0.5000  6 Si 3.06-3.18
Bi: 0.3126 0.1874 0.5000  6 Si 3.06-3.18
Bi: 0.6874 0.8126 0.5000  6 Si 3.06-3.18
Bi: 0.8126 0.3126 0.5000  6 Si 3.06-3.18

Entry 3:
Y2CdHg | PBE-GGA | relaxed

Computed properties:
SG = I-4m2, No. 119
Distance to the lowest polymorph of the same formula = 165 meV per atom
ΔH_f (0 K) = -266.2 meV per atom

abc: 6.0551 6.0551 6.0551
angles: 136.41 136.41 63.35
Last column: nearest neighbours and their distance in Å.
Atoms (fractional coordinates):
Y: 0.0000 0.0000 0.0000  4 Hg 3.18, 4 Cd 3.42, 4 Y 3.42
Y: 0.7500 0.2500 0.5000  4 Cd 3.18, 4 Hg 3.42, 4 Y 3.42
Cd: 0.2500 0.7500 0.5000  8 Y 3.18-3.42, 4 Hg 3.42
Hg: 0.5000 0.5000 0.0000  8 Y 3.18-3.42, 4 Cd 3.42

Entry 4:
Tl2FeBr5 | PBE-GGA | relaxed

Computed properties:
SG = P2_1/c, No. 14
E_form (uncorrected) = -5.52 eV/f.u.
Distance to the lowest polymorph of the same formula = 0 meV per atom

abc: 13.4468 9.7012 10.3891
angles: 90.00 107.16 90.00
Last column: nearest neighbours and their distance in Å.
Atoms (fractional coordinates):
Tl: 0.0325 0.1182 0.2087  5 Br 3.23-3.54
Tl: 0.0325 0.3818 0.7087  5 Br 3.23-3.54
Tl: 0.3496 0.1469 0.0201  3 Br 3.07-3.43
Tl: 0.3496 0.3531 0.5201  3 Br 3.07-3.43
Tl: 0.6504 0.6469 0.4799  3 Br 3.07-3.43
Tl: 0.6504 0.8531 0.9799  3 Br 3.07-3.43
Tl: 0.9675 0.6182 0.2913  5 Br 3.23-3.54
Tl: 0.9675 0.8818 0.7913  5 Br 3.23-3.54
Fe: 0.2973 0.5789 0.0104  4 Br 2.34-2.38
Fe: 0.2973 0.9211 0.5104  4 Br 2.34-2.38
Fe: 0.7027 0.0789 0.4896  4 Br 2.34-2.38
Fe: 0.7027 0.4211 0.9896  4 Br 2.34-2.38
Br: 0.1112 0.1367 0.9441  4 Tl 3.07-3.35
Br: 0.1112 0.3633 0.4441  4 Tl 3.07-3.35
Br: 0.1214 0.6212 0.9928  1 Fe 2.35
Br: 0.1214 0.8788 0.4928  1 Fe 2.35
Br: 0.3011 0.0624 0.3244  1 Fe 2.38
Br: 0.3011 0.4376 0.8244  1 Fe 2.38
Br: 0.3784 0.0542 0.7038  1 Fe 2.37
Br: 0.3784 0.4458 0.2038  1 Fe 2.37
Br: 0.3877 0.7155 0.5084  1 Fe 2.34
Br: 0.3877 0.7845 0.0084  1 Fe 2.34
Br: 0.6123 0.2155 0.9916  1 Fe 2.34
Br: 0.6123 0.2845 0.4916  1 Fe 2.34
Br: 0.6216 0.5542 0.7962  1 Fe 2.37
Br: 0.6216 0.9458 0.2962  1 Fe 2.37
Br: 0.6989 0.5624 0.1756  1 Fe 2.38
Br: 0.6989 0.9376 0.6756  1 Fe 2.38
Br: 0.8786 0.1212 0.5072  1 Fe 2.35
Br: 0.8786 0.3788 0.0072  1 Fe 2.35
Br: 0.8888 0.6367 0.5559  4 Tl 3.07-3.35
Br: 0.8888 0.8633 0.0559  4 Tl 3.07-3.35

Entry 5:
MgH2O | PBE-GGA | relaxed

Computed properties:
SG = Pmn2_1, No. 31
Distance to the lowest polymorph of the same formula = 19 meV per atom

abc: 3.0973 5.0566 4.4992
angles: 90.00 90.00 90.00
Last column: nearest neighbours and their distance in Å.
Atoms (fractional coordinates):
Mg: 0.0000 0.2364 0.0000  3 O 2.05-2.06, 3 H 2.10-2.13
Mg: 0.5000 0.7636 0.5000  3 O 2.05-2.06, 3 H 2.10-2.13
H: 0.0000 0.5968 0.7533  1 H 1.62
H: 0.0000 0.7684 0.0580  1 O 0.99
H: 0.5000 0.2316 0.5580  1 O 0.99
H: 0.5000 0.4032 0.2533  1 H 1.62
O: 0.0000 0.8862 0.2349  1 H 0.99
O: 0.5000 0.1138 0.7349  1 H 0.99